# Cs2HfVF6

An optimized crystal structure of Cs2HfVF6 (GGA+U, the Alexandria database).

Properties
N(E_F) in states/eV per cell: 5.4
Total energy in eV/cell: -114.25

CIF file:
```
data_Cs2HfVF6
_chemical_formula_sum 'Cs4 Hf2 V2 F12'
_cell_length_a 6.510
_cell_length_b 6.510
_cell_length_c 10.839
_cell_angle_alpha 90.00
_cell_angle_beta 90.00
_cell_angle_gamma 90.00
_space_group_name_H-M_alt 'I 4/m m m'
_space_group_IT_number 139
_space_group_name_Hall '-I 4 2'
loop_
_atom_site_label
_atom_site_fract_x
_atom_site_fract_y
_atom_site_fract_z
Cs1 0.000 0.500 0.250
Hf1 0.000 0.000 0.000
V1 0.000 0.000 0.500
F1 0.000 0.000 0.186
F2 0.219 0.219 0.000
```